Record 1
Below is Na2LiBiF after structural relaxation, with properties calculated at the PBE level.

Geometry as CIF:
```
data_Na2LiBiF
_chemical_formula_sum 'Na2 Li1 Bi1 F1'
_cell_length_a 5.341
_cell_length_b 5.341
_cell_length_c 3.699
_cell_angle_alpha 90.00
_cell_angle_beta 90.00
_cell_angle_gamma 90.00
_space_group_name_H-M_alt 'P 1'
_space_group_IT_number 1
loop_
_space_group_symop_operation_xyz
'x,y,z'
loop_
_atom_site_label
_atom_site_type_symbol
_atom_site_fract_x
_atom_site_fract_y
_atom_site_fract_z
_atom_site_occupancy
Na1 Na 0.000 0.500 0.000 1
Na2 Na 0.500 0.000 0.000 1
Li1 Li 0.000 0.000 0.500 1
Bi1 Bi 0.500 0.500 0.500 1
F1 F 0.000 0.000 0.000 1
```

## Properties
N(E_F): 0.5 states/eV/f.u.
M_tot: 0.00 μB/f.u.
raw total energy: -3.3576 eV/atom



Record 2
Below is NaLiBiF6 after structural relaxation, with properties calculated at the PBE level.

Geometry as CIF:
```
data_NaLiBiF6
_chemical_formula_sum 'Na2 Li2 Bi2 F12'
_cell_length_a 5.551
_cell_length_b 5.551
_cell_length_c 9.935
_cell_angle_alpha 90.00
_cell_angle_beta 90.00
_cell_angle_gamma 120.00
_space_group_name_H-M_alt 'P 1'
_space_group_IT_number 1
loop_
_space_group_symop_operation_xyz
'x,y,z'
loop_
_atom_site_label
_atom_site_type_symbol
_atom_site_fract_x
_atom_site_fract_y
_atom_site_fract_z
_atom_site_occupancy
Na1 Na 0.000 0.000 0.000 1
Na2 Na 0.000 0.000 0.500 1
Li1 Li 0.333 0.667 0.250 1
Li2 Li 0.667 0.333 0.750 1
Bi1 Bi 0.667 0.333 0.250 1
Bi2 Bi 0.333 0.667 0.750 1
F1 F 0.640 0.652 0.135 1
F2 F 0.012 0.360 0.135 1
F3 F 0.360 0.012 0.635 1
F4 F 0.988 0.640 0.865 1
F5 F 0.348 0.360 0.365 1
F6 F 0.012 0.652 0.365 1
F7 F 0.652 0.012 0.865 1
F8 F 0.640 0.988 0.365 1
F9 F 0.988 0.348 0.635 1
F10 F 0.348 0.988 0.135 1
F11 F 0.652 0.640 0.635 1
F12 F 0.360 0.348 0.865 1
```

## Properties
N(E_F): 2.3 states/eV/f.u.
M_tot: 0.96 μB/f.u.
raw total energy: -4.4759 eV/atom



Record 3
Below is NaLi2BiF after structural relaxation, with properties calculated at the PBE level.

Geometry as CIF:
```
data_NaLi2BiF
_chemical_formula_sum 'Na1 Li2 Bi1 F1'
_cell_length_a 4.439
_cell_length_b 4.439
_cell_length_c 4.610
_cell_angle_alpha 90.00
_cell_angle_beta 90.00
_cell_angle_gamma 90.00
_space_group_name_H-M_alt 'P 1'
_space_group_IT_number 1
loop_
_space_group_symop_operation_xyz
'x,y,z'
loop_
_atom_site_label
_atom_site_type_symbol
_atom_site_fract_x
_atom_site_fract_y
_atom_site_fract_z
_atom_site_occupancy
Na1 Na 0.000 0.000 0.500 1
Li1 Li 0.000 0.500 0.000 1
Li2 Li 0.500 0.000 0.000 1
Bi1 Bi 0.500 0.500 0.500 1
F1 F 0.000 0.000 0.000 1
```

## Properties
N(E_F): 2.0 states/eV/f.u.
M_tot: 0.00 μB/f.u.
raw total energy: -3.4439 eV/atom



Record 4
Below is NaLi2BiF6 after structural relaxation, with properties calculated at the PBE level.

Geometry as CIF:
```
data_NaLi2BiF6
_chemical_formula_sum 'Na1 Li2 Bi1 F6'
_cell_length_a 5.553
_cell_length_b 5.553
_cell_length_c 5.681
_cell_angle_alpha 89.99
_cell_angle_beta 119.27
_cell_angle_gamma 120.00
_space_group_name_H-M_alt 'P 1'
_space_group_IT_number 1
loop_
_space_group_symop_operation_xyz
'x,y,z'
loop_
_atom_site_label
_atom_site_type_symbol
_atom_site_fract_x
_atom_site_fract_y
_atom_site_fract_z
_atom_site_occupancy
Na1 Na 0.029 0.514 0.529 1
Li1 Li 0.581 0.790 0.357 1
Li2 Li 0.599 0.299 0.883 1
Bi1 Bi 0.025 0.012 0.023 1
F1 F 0.543 0.954 0.680 1
F2 F 0.521 0.065 0.157 1
F3 F 0.716 0.650 0.157 1
F4 F 0.106 0.455 0.157 1
F5 F 0.740 0.588 0.680 1
F6 F 0.105 0.151 0.680 1
```

## Properties
N(E_F): 0.0 states/eV/f.u.
M_tot: 0.00 μB/f.u.
raw total energy: -4.7356 eV/atom



Record 5
Below is Na2LiBiF6 after structural relaxation, with properties calculated at the PBE level.

Geometry as CIF:
```
data_Na2LiBiF6
_chemical_formula_sum 'Na2 Li1 Bi1 F6'
_cell_length_a 6.035
_cell_length_b 6.035
_cell_length_c 6.035
_cell_angle_alpha 60.00
_cell_angle_beta 60.00
_cell_angle_gamma 60.00
_space_group_name_H-M_alt 'P 1'
_space_group_IT_number 1
loop_
_space_group_symop_operation_xyz
'x,y,z'
loop_
_atom_site_label
_atom_site_type_symbol
_atom_site_fract_x
_atom_site_fract_y
_atom_site_fract_z
_atom_site_occupancy
Na1 Na 0.750 0.750 0.750 1
Na2 Na 0.250 0.250 0.250 1
Li1 Li 0.500 0.500 0.500 1
Bi1 Bi 0.000 0.000 0.000 1
F1 F 0.263 0.737 0.263 1
F2 F 0.737 0.263 0.263 1
F3 F 0.737 0.263 0.737 1
F4 F 0.263 0.263 0.737 1
F5 F 0.737 0.737 0.263 1
F6 F 0.263 0.737 0.737 1
```

## Properties
energy above the most stable polymorph in this dataset: 122.4 meV per atom
N(E_F): 0.0 states/eV/f.u.
M_tot: 0.00 μB/f.u.
raw total energy: -4.4887 eV/atom



Record 6
Below is NaLi2BiF8 after structural relaxation, with properties calculated at the PBE level.

Geometry as CIF:
```
data_NaLi2BiF8
_chemical_formula_sum 'Na1 Li2 Bi1 F8'
_cell_length_a 4.890
_cell_length_b 4.888
_cell_length_c 7.057
_cell_angle_alpha 89.96
_cell_angle_beta 89.96
_cell_angle_gamma 86.67
_space_group_name_H-M_alt 'P 1'
_space_group_IT_number 1
loop_
_space_group_symop_operation_xyz
'x,y,z'
loop_
_atom_site_label
_atom_site_type_symbol
_atom_site_fract_x
_atom_site_fract_y
_atom_site_fract_z
_atom_site_occupancy
Na1 Na 0.000 0.000 0.500 1
Li1 Li 0.500 0.500 0.681 1
Li2 Li 0.500 0.500 0.319 1
Bi1 Bi 0.000 0.000 0.000 1
F1 F 0.206 0.789 0.216 1
F2 F 0.710 0.716 0.000 1
F3 F 0.794 0.210 0.216 1
F4 F 0.794 0.211 0.784 1
F5 F 0.290 0.284 0.000 1
F6 F 0.206 0.790 0.784 1
F7 F 0.689 0.691 0.500 1
F8 F 0.311 0.309 0.500 1
```

## Properties
N(E_F): 3.1 states/eV/f.u.
M_tot: 0.00 μB/f.u.
raw total energy: -4.3337 eV/atom